Material: CaInCl2
Method: DFT, PBE
State: optimized geometry

## Properties
space-group type: I-42d
raw total energy: -26.83 eV/cell
formation energy without anion corrections: -1.25 eV per atom
volume: 41.8 A^3/atom

Lattice parameters (Å, degrees): 8.0670 8.0670 8.0670 125.63 125.63 80.50
Last column: nearest neighbours and their distance in Å.
Fractional coordinates of all 8 atoms:
Ca: 0.0000 0.0000 0.0000  4 Cl 2.62
Ca: 0.7500 0.2500 0.5000  4 Cl 2.62
In: 0.2500 0.7500 0.5000  4 Cl 3.56
In: 0.5000 0.5000 0.0000  4 Cl 3.56
Cl: 0.0185 0.6250 0.8935  2 Ca 2.62
Cl: 0.3750 0.2685 0.3935  2 Ca 2.62
Cl: 0.7315 0.1250 0.1065  2 Ca 2.62
Cl: 0.8750 0.9815 0.6065  2 Ca 2.62